ScMn2Os | PBE-GGA | relaxed

Geometry as CIF:
```
data_ScMn2Os
_chemical_formula_sum 'Sc1 Mn2 Os1'
_space_group_name_H-M_alt 'P 1'
_space_group_IT_number 1
_space_group_name_Hall 'P 1'
_cell_length_a 8.767
_cell_length_b 8.767
_cell_length_c 8.767
_cell_angle_alpha 18.48
_cell_angle_beta 18.48
_cell_angle_gamma 18.48
loop_
_atom_site_label
_atom_site_fract_x
_atom_site_fract_y
_atom_site_fract_z
Mn1 0.994 0.994 0.994
Mn2 0.252 0.252 0.252
Os1 0.507 0.507 0.507
Sc1 0.747 0.747 0.747
```

Summary:
Space-group type: R3m
Relative energy among the computed polymorphs (meV per atom): 202.1


ScMn2Os | PBE-GGA | relaxed

Geometry as CIF:
```
data_ScMn2Os
_chemical_formula_sum 'Sc1 Mn2 Os1'
_space_group_name_H-M_alt 'P 1'
_space_group_IT_number 1
_space_group_name_Hall 'P 1'
_cell_length_a 4.290
_cell_length_b 4.290
_cell_length_c 2.946
_cell_angle_alpha 90.00
_cell_angle_beta 90.00
_cell_angle_gamma 90.00
loop_
_atom_site_label
_atom_site_fract_x
_atom_site_fract_y
_atom_site_fract_z
Mn1 0.000 0.000 0.000
Mn2 0.500 0.500 0.000
Os1 0.500 0.000 0.500
Sc1 0.000 0.500 0.500
```

Summary:
Space-group type: P4/mmm
Relative energy among the computed polymorphs (meV per atom): 49.7


The following final energy values (in eV for the cell shown) correspond, in order, to the records above: -34.9, -35.5.
The following E_form values (in eV/f.u.) correspond, in order, to the records above: 0.990, 0.381.
The following mass density values (in g/cm3) correspond, in order, to the records above: 9.69, 10.57.